A plane-wave DFT calculation with PBE-GGA was carried out for CeThAlIn after structural relaxation.

Calculated values
* ΔH_f (0 K): -206 meV per atom
* volume: 109 Å³/f.u.
* uncorrected energy: -5.165 eV per atom
* symmetry: F-43m, No. 216
* energy above the lowest structure with this stoichiometry: 0 meV/atom

a b c (Å): 5.365 5.365 5.365
angles (deg): 60.00 60.00 60.00
Site moments in Bohr magnetons follow the coordinates.
Element x y z (fractional)
Al  0.750  0.750  0.750  0.00
Ce  0.500  0.500  0.500  0.80
Th  0.000  0.000  0.000  0.14
In  0.250  0.250  0.250  0.00

=====

A plane-wave DFT calculation with PBE-GGA was carried out for LuNpHg2 after structural relaxation.

Calculated values
* ΔH_f (0 K): -29 meV per atom
* volume: 101 Å³/f.u.
* uncorrected energy: -4.545 eV per atom
* symmetry: P4/mmm, No. 123
* energy above the lowest structure with this stoichiometry: 30 meV/atom

a b c (Å): 3.391 5.449 5.449
angles (deg): 90.00 90.00 90.00
Site moments in Bohr magnetons follow the coordinates.
Element x y z (fractional)
Np  0.500  0.000  0.000  4.25
Lu  0.500  0.500  0.500  0.06
Hg  0.000  0.000  0.500  0.02
Hg  0.000  0.500  0.000  0.02